Entry from Alexandria: Ac3Re2N6 after structural relaxation (PBE).

Cell and atoms, written as CIF:
```
data_Ac3Re2N6
_cell_length_a 4.003
_cell_length_b 4.003
_cell_length_c 21.022
_cell_angle_alpha 90.00
_cell_angle_beta 90.00
_cell_angle_gamma 90.00
_symmetry_space_group_name_H-M 'I 4/m m m'
_symmetry_Int_Tables_number 139
_symmetry_space_group_name_Hall '-I 4 2'
loop_
_atom_site_label
_atom_site_type_symbol
_atom_site_fract_x
_atom_site_fract_y
_atom_site_fract_z
Ac1 Ac 0.000 0.000 0.000
Ac2 Ac 0.000 0.000 0.184
Re1 Re 0.000 0.000 0.405
N1 N 0.000 0.000 0.306
N2 N 0.000 0.500 0.090
```

Output
For the density of states at the Fermi level, the calculation gives 0.615 states/eV/atom. The formation energy from raw total energies comes out at -9.13 eV per formula unit.